# ReGeOs, relaxed, DFT PBE
# **Energy of formation**: 0.19 eV/atom
# **Final energy**: -9.24 eV/atom
# **Distance to the lowest polymorph of the same formula**: 0.126 eV/atom
# **Spin magnetization**: 0.000 μB/atom
data_ReGeOs
_cell_length_a 12.1122
_cell_length_b 2.9093
_cell_length_c 5.0395
_cell_angle_alpha 90.00
_cell_angle_beta 90.00
_cell_angle_gamma 90.00
_space_group_name_H-M_alt 'A m m 2'
_space_group_IT_number 38
_space_group_name_Hall 'A 2 -2'
loop_
_atom_site_label
_atom_site_fract_x
_atom_site_fract_y
_atom_site_fract_z
_atom_site_occupancy
Re1 0.0000 0.0000 0.0000 1
Re2 0.5000 0.0000 0.3322 1
Ge1 0.1633 0.0000 0.3327 1
Os1 0.3261 0.0000 0.9988 1

***

# Ho2Sc4Sn3O2, relaxed, DFT PBE
# **Energy relative to the elements, uncorrected**: -1.55 eV/atom
# **Final energy**: -6.67 eV/atom
# **Spin magnetization**: 0.000 μB/atom
data_Ho2Sc4Sn3O2
_cell_length_a 4.3909
_cell_length_b 4.3909
_cell_length_c 24.2448
_cell_angle_alpha 90.00
_cell_angle_beta 90.00
_cell_angle_gamma 90.00
_space_group_name_H-M_alt 'I 4/m m m'
_space_group_IT_number 139
_space_group_name_Hall '-I 4 2'
loop_
_atom_site_label
_atom_site_fract_x
_atom_site_fract_y
_atom_site_fract_z
_atom_site_occupancy
Ho1 0.0000 0.0000 0.1926 1
Sc1 0.0000 0.5000 0.0825 1
Sn1 0.0000 0.0000 0.3249 1
Sn2 0.0000 0.0000 0.5000 1
O1 0.0000 0.0000 0.0936 1

***

# Na4ErSc3S8, relaxed, DFT PBE
# **Energy relative to the elements, uncorrected**: -1.77 eV/atom
# **Final energy**: -5.63 eV/atom
# **Spin magnetization**: 0.000 μB/atom
data_Na4ErSc3S8
_cell_length_a 7.6334
_cell_length_b 7.6334
_cell_length_c 19.9216
_cell_angle_alpha 90.00
_cell_angle_beta 90.00
_cell_angle_gamma 120.00
_space_group_name_H-M_alt 'R -3 m'
_space_group_IT_number 166
_space_group_name_Hall '-R 3 2"'
loop_
_atom_site_label
_atom_site_fract_x
_atom_site_fract_y
_atom_site_fract_z
_atom_site_occupancy
Na1 0.0000 0.0000 0.0000 1
Na2 0.0000 0.5000 0.0000 1
Er1 0.0000 0.0000 0.5000 1
Sc1 0.0000 0.5000 0.5000 1
S1 0.0000 0.0000 0.2382 1
S2 0.0092 0.5046 0.7602 1

***

# Hf6Zn10Cu, relaxed, DFT PBE
# **Energy of formation**: -0.04 eV/atom
# **Final energy**: -4.54 eV/atom
# **Spin magnetization**: 0.000 μB/atom
data_Hf6Zn10Cu
_cell_length_a 7.7658
_cell_length_b 7.7658
_cell_length_c 5.7651
_cell_angle_alpha 90.00
_cell_angle_beta 90.00
_cell_angle_gamma 120.00
_space_group_name_H-M_alt 'P -3 1 m'
_space_group_IT_number 162
_space_group_name_Hall '-P 3 2'
loop_
_atom_site_label
_atom_site_fract_x
_atom_site_fract_y
_atom_site_fract_z
_atom_site_occupancy
Hf1 0.0000 0.3413 0.3284 1
Zn1 0.0000 0.3116 0.8476 1
Zn2 0.3333 0.6667 0.0000 1
Zn3 0.3333 0.6667 0.5000 1
Cu1 0.0000 0.0000 0.5000 1

***

# ZnAgSnRh2, relaxed, DFT PBE
# **Energy of formation**: 0.92 eV/atom
# **Final energy**: -3.65 eV/atom
# **Spin magnetization**: 0.000 μB/atom
data_ZnAgSnRh2
_cell_length_a 4.8815
_cell_length_b 4.8815
_cell_length_c 4.8799
_cell_angle_alpha 90.00
_cell_angle_beta 90.00
_cell_angle_gamma 90.00
_space_group_name_H-M_alt 'P 4/m m m'
_space_group_IT_number 123
_space_group_name_Hall '-P 4 2'
loop_
_atom_site_label
_atom_site_fract_x
_atom_site_fract_y
_atom_site_fract_z
_atom_site_occupancy
Zn1 0.0000 0.0000 0.0000 1
Ag1 0.5000 0.5000 0.0000 1
Sn1 0.0000 0.0000 0.5000 1
Rh1 0.0000 0.5000 0.5000 1

***

# CrGaW2N, relaxed, DFT PBE
# **Energy relative to the elements, uncorrected**: 0.01 eV/atom
# **Final energy**: -9.37 eV/atom
# **Spin magnetization**: 0.000 μB/atom
data_CrGaW2N
_cell_length_a 4.1030
_cell_length_b 4.1030
_cell_length_c 3.9011
_cell_angle_alpha 90.00
_cell_angle_beta 90.00
_cell_angle_gamma 90.00
_space_group_name_H-M_alt 'P 4/m m m'
_space_group_IT_number 123
_space_group_name_Hall '-P 4 2'
loop_
_atom_site_label
_atom_site_fract_x
_atom_site_fract_y
_atom_site_fract_z
_atom_site_occupancy
Cr1 0.0000 0.0000 0.0000 1
Ga1 0.5000 0.5000 0.0000 1
W1 0.0000 0.5000 0.5000 1
N1 0.0000 0.0000 0.5000 1

***

# YSnF3, relaxed, DFT PBE
# **Energy relative to the elements, uncorrected**: -2.62 eV/atom
# **Final energy**: -5.84 eV/atom
# **Distance to the lowest polymorph of the same formula**: 0.000 eV/atom
# **Spin magnetization**: 0.000 μB/atom
data_YSnF3
_cell_length_a 4.5316
_cell_length_b 4.5316
_cell_length_c 4.5316
_cell_angle_alpha 90.00
_cell_angle_beta 90.00
_cell_angle_gamma 90.00
_space_group_name_H-M_alt 'P m -3 m'
_space_group_IT_number 221
_space_group_name_Hall '-P 4 2 3'
loop_
_atom_site_label
_atom_site_fract_x
_atom_site_fract_y
_atom_site_fract_z
_atom_site_occupancy
Y1 0.0000 0.0000 0.0000 1
Sn1 0.5000 0.5000 0.5000 1
F1 0.0000 0.0000 0.5000 1

***

# ScTaBMo2, relaxed, DFT PBE
# **Energy of formation**: 0.09 eV/atom
# **Final energy**: -9.22 eV/atom
# **Spin magnetization**: 0.000 μB/atom
data_ScTaBMo2
_cell_length_a 4.2852
_cell_length_b 4.2852
_cell_length_c 4.4512
_cell_angle_alpha 90.00
_cell_angle_beta 90.00
_cell_angle_gamma 90.00
_space_group_name_H-M_alt 'P 4/m m m'
_space_group_IT_number 123
_space_group_name_Hall '-P 4 2'
loop_
_atom_site_label
_atom_site_fract_x
_atom_site_fract_y
_atom_site_fract_z
_atom_site_occupancy
Sc1 0.0000 0.0000 0.0000 1
Ta1 0.5000 0.5000 0.0000 1
B1 0.5000 0.5000 0.5000 1
Mo1 0.0000 0.5000 0.5000 1

***

# CrGeRu3, relaxed, DFT PBE
# **Energy of formation**: 1.18 eV/atom
# **Final energy**: -7.23 eV/atom
# **Distance to the lowest polymorph of the same formula**: 0.000 eV/atom
# **Spin magnetization**: 0.000 μB/atom
data_CrGeRu3
_cell_length_a 4.4218
_cell_length_b 4.4218
_cell_length_c 4.4218
_cell_angle_alpha 90.00
_cell_angle_beta 90.00
_cell_angle_gamma 90.00
_space_group_name_H-M_alt 'P m -3 m'
_space_group_IT_number 221
_space_group_name_Hall '-P 4 2 3'
loop_
_atom_site_label
_atom_site_fract_x
_atom_site_fract_y
_atom_site_fract_z
_atom_site_occupancy
Cr1 0.0000 0.0000 0.0000 1
Ge1 0.5000 0.5000 0.5000 1
Ru1 0.0000 0.0000 0.5000 1

***

# MnH2I4, relaxed, DFT PBE
# **Final energy**: -3.30 eV/atom
# **Spin magnetization**: 0.714 μB/atom
data_MnH2I4
_cell_length_a 4.2017
_cell_length_b 6.9727
_cell_length_c 8.0169
_cell_angle_alpha 90.99
_cell_angle_beta 90.83
_cell_angle_gamma 96.00
_space_group_name_H-M_alt 'P -1'
_space_group_IT_number 2
_space_group_name_Hall '-P 1'
loop_
_atom_site_label
_atom_site_fract_x
_atom_site_fract_y
_atom_site_fract_z
_atom_site_occupancy
Mn1 0.0000 0.0000 0.0000 1
H1 0.2156 0.4577 0.7676 1
I1 0.0017 0.7438 0.3033 1
I2 0.4639 0.7823 0.8407 1

***

# Li2TlGe2, relaxed, DFT PBE
# **Energy of formation**: -0.05 eV/atom
# **Final energy**: -3.13 eV/atom
# **Distance to the lowest polymorph of the same formula**: 0.093 eV/atom
# **Spin magnetization**: 0.000 μB/atom
data_Li2TlGe2
_cell_length_a 4.1953
_cell_length_b 4.1953
_cell_length_c 11.6776
_cell_angle_alpha 90.00
_cell_angle_beta 90.00
_cell_angle_gamma 90.00
_space_group_name_H-M_alt 'I 4/m m m'
_space_group_IT_number 139
_space_group_name_Hall '-I 4 2'
loop_
_atom_site_label
_atom_site_fract_x
_atom_site_fract_y
_atom_site_fract_z
_atom_site_occupancy
Li1 0.0000 0.5000 0.2500 1
Tl1 0.0000 0.0000 0.0000 1
Ge1 0.0000 0.0000 0.3968 1

***

# Bi2PdN, relaxed, DFT PBE
# **Energy relative to the elements, uncorrected**: 0.39 eV/atom
# **Final energy**: -4.93 eV/atom
# **Spin magnetization**: 0.000 μB/atom
data_Bi2PdN
_cell_length_a 5.9784
_cell_length_b 5.9784
_cell_length_c 10.9652
_cell_angle_alpha 90.00
_cell_angle_beta 90.00
_cell_angle_gamma 90.00
_space_group_name_H-M_alt 'I -4 2 d'
_space_group_IT_number 122
_space_group_name_Hall 'I -4 2bw'
loop_
_atom_site_label
_atom_site_fract_x
_atom_site_fract_y
_atom_site_fract_z
_atom_site_occupancy
Bi1 0.2024 0.2500 0.1250 1
Pd1 0.0000 0.0000 0.5000 1
N1 0.0000 0.0000 0.0000 1